A relaxed HoThTeAs crystal. Source: the Alexandria database, functional GGA-PBE.

The structure in POSCAR format:
```
HoThTeAs
1.0
-3.8242 -1.5330 -0.6310
2.1458 -1.0854 3.4061
-1.1114 7.2025 2.9952
Ho Th Te As
1 1 1 1
Cartesian
-2.3055 3.7987 2.1420
1.5269 -0.6203 3.4235
-3.3163 0.7870 1.8196
-0.9181 5.1381 4.2467
```

Results
Final energy, eV per atom: -6.281
Uncorrected formation energy, eV/f.u.: -5.34

---

A relaxed SrSn2GeRu2 crystal. Source: the Alexandria database, functional GGA-PBE.

The structure in POSCAR format:
```
SrSn2GeRu2
1.0
-1.0744 -3.4642 3.0079
2.9001 -2.9065 -2.3116
4.6524 1.7331 3.6578
Sr Sn Ge Ru
1 2 1 2
Cartesian
2.3262 0.8665 1.8289
4.3754 -1.8955 3.0704
2.1027 -2.7421 1.2836
0.0000 0.0000 0.0000
-0.5372 -1.7321 1.5039
1.4501 -1.4533 -1.1558
```

Results
Final energy, eV per atom: -5.676